Run 1
Cd2FeAu | PBE | relaxed

a b c (Å): 5.0314 5.0314 5.1764
angles (deg): 100.14 100.14 33.99
Last column: nearest neighbours and their distance in Å.
Fractional coordinates of all 4 atoms:
Cd 0.2452 0.2452 0.2422  3 Fe 2.87-2.95, 3 Au 2.92-2.96, 6 Cd 2.92-3.03
Cd 0.7548 0.7548 0.7578  3 Fe 2.87-2.95, 3 Au 2.92-2.96, 6 Cd 2.92-3.03
Fe 0.5000 0.5000 0.0000  6 Cd 2.87-2.95, 2 Fe 2.94, 4 Au 2.98
Au 0.0000 0.0000 0.5000  6 Cd 2.92-2.96, 2 Au 2.94, 4 Fe 2.98

Output
V (Å³/cell): 72.00
DOS at the Fermi energy (states/eV/f.u.): 3.5

Run 2
Cd2FeAu | PBE | relaxed

a b c (Å): 4.1787 4.1787 4.0913
angles (deg): 90.00 90.00 90.00
Last column: nearest neighbours and their distance in Å.
Fractional coordinates of all 4 atoms:
Cd 0.0000 0.5000 0.0000  4 Fe 2.92, 4 Au 2.92, 4 Cd 2.95
Cd 0.5000 0.0000 0.0000  4 Fe 2.92, 4 Au 2.92, 4 Cd 2.95
Fe 0.0000 0.0000 0.5000  8 Cd 2.92, 4 Au 2.95
Au 0.5000 0.5000 0.5000  8 Cd 2.92, 4 Fe 2.95

Output
V (Å³/cell): 71.44
DOS at the Fermi energy (states/eV/f.u.): 3.6

Which is most stable, and by how much? run 2, by 4.3 kJ/mol of atoms.

Run 1
Cd2FeAu | PBE | relaxed

a b c (Å): 9.5825 9.5825 9.5825
angles (deg): 17.81 17.81 17.81
Last column: nearest neighbours and their distance in Å.
Fractional coordinates of all 4 atoms:
Cd 0.2459 0.2459 0.2459  3 Fe 2.82, 6 Cd 2.97, 3 Au 3.01
Cd 0.7541 0.7541 0.7541  3 Fe 2.82, 6 Cd 2.97, 3 Au 3.01
Fe 0.5000 0.5000 0.5000  6 Cd 2.82, 6 Fe 2.97
Au 0.0000 0.0000 0.0000  6 Au 2.97, 6 Cd 3.01

Output
V (Å³/cell): 71.87
DOS at the Fermi energy (states/eV/f.u.): 2.9

Run 2
Cd2FeAu | PBE | relaxed

a b c (Å): 6.0196 6.0196 6.0196
angles (deg): 102.27 102.27 125.10
Last column: nearest neighbours and their distance in Å.
Fractional coordinates of all 8 atoms:
Cd 0.1155 0.6250 0.9905  2 Fe 2.71, 2 Cd 2.78, 2 Au 2.81
Cd 0.3750 0.3655 0.4905  2 Fe 2.71, 2 Cd 2.78, 2 Au 2.81
Cd 0.6345 0.1250 0.0095  2 Fe 2.71, 2 Cd 2.78, 2 Au 2.81
Cd 0.8750 0.8845 0.5095  2 Fe 2.71, 2 Cd 2.78, 2 Au 2.81
Fe 0.0000 0.0000 0.0000  4 Cd 2.71, 2 Au 2.77
Fe 0.7500 0.2500 0.5000  4 Cd 2.71, 2 Au 2.77
Au 0.2500 0.7500 0.5000  2 Fe 2.77, 4 Cd 2.81
Au 0.5000 0.5000 0.0000  2 Fe 2.77, 4 Cd 2.81

Output
V (Å³/cell): 158.37
DOS at the Fermi energy (states/eV/f.u.): 2.2

Run 3
Cd2FeAu | PBE | relaxed

a b c (Å): 4.8950 4.8950 4.8950
angles (deg): 127.30 127.30 77.76
Last column: nearest neighbours and their distance in Å.
Fractional coordinates of all 4 atoms:
Cd 0.2500 0.7500 0.5000  4 Fe 2.89, 4 Au 2.89, 4 Cd 3.07
Cd 0.7500 0.2500 0.5000  4 Fe 2.89, 4 Au 2.89, 4 Cd 3.07
Fe 0.0000 0.0000 0.0000  8 Cd 2.89, 4 Au 3.07
Au 0.5000 0.5000 0.0000  8 Cd 2.89, 4 Fe 3.07

Output
V (Å³/cell): 71.95
DOS at the Fermi energy (states/eV/f.u.): 4.8

Run 4
Cd2FeAu | PBE | relaxed

a b c (Å): 9.9316 9.9316 9.9316
angles (deg): 17.08 17.08 17.08
Last column: nearest neighbours and their distance in Å.
Fractional coordinates of all 4 atoms:
Cd 0.0000 0.0000 0.0000  6 Cd 2.95, 3 Au 3.05
Cd 0.2359 0.2359 0.2359  3 Fe 2.84, 6 Cd 2.95
Fe 0.4919 0.4919 0.4919  3 Au 2.72, 3 Cd 2.84, 6 Fe 2.95
Au 0.7530 0.7530 0.7530  3 Fe 2.72, 6 Au 2.95

Output
V (Å³/cell): 73.72
DOS at the Fermi energy (states/eV/f.u.): 2.4

Which is most stable, and by how much? run 1, by 0.7 kJ/mol of atoms.